(1)
The following is a PBE calculation of an optimized crystal structure of GaFeCuAu, from Alexandria.

- Calculated formation energy: 0.056 eV per atom

a = 4.325 Å, b = 4.325 Å, c = 4.325 Å
α = 60.00°, β = 60.00°, γ = 60.00°
Each line ends with the local moment (μB).
Fractional coordinates of all 4 atoms:
Fe 0.750 0.750 0.750  2.50
Au 0.250 0.250 0.250  0.00
Cu 0.500 0.500 0.500  0.05
Ga 0.000 0.000 0.000  -0.07

(2)
The following is a PBE calculation of an optimized crystal structure of RbTl2Sn2Te4, from Alexandria.

- Formation energy without anion corrections: -0.378 eV per atom

a = 5.853 Å, b = 10.320 Å, c = 7.024 Å
α = 75.25°, β = 90.00°, γ = 106.47°
Fractional coordinates of all 9 atoms:
Rb 0.000 0.000 0.000
Te 0.170 0.340 0.173
Te 0.613 0.226 0.728
Te 0.830 0.660 0.827
Te 0.387 0.774 0.272
Sn 0.323 0.646 0.955
Sn 0.677 0.354 0.045
Tl 0.206 0.413 0.621
Tl 0.794 0.587 0.379

(3)
The following is a PBE calculation of an optimized crystal structure of Y3InN, from Alexandria.

- Formation energy without anion corrections: -0.784 eV per atom

a = 12.882 Å, b = 8.921 Å, c = 8.921 Å
α = 82.90°, β = 125.70°, γ = 54.30°
Fractional coordinates of all 20 atoms:
Y 0.079 0.690 0.640
Y 0.579 0.860 0.810
Y 0.910 0.780 0.832
Y 0.904 0.051 0.086
Y 0.090 0.220 0.168
Y 0.404 0.414 0.449
Y 0.921 0.310 0.360
Y 0.421 0.140 0.190
Y 0.410 0.668 0.720
Y 0.596 0.586 0.551
Y 0.096 0.949 0.914
Y 0.590 0.332 0.280
N 0.750 0.450 0.950
N 0.750 0.187 0.687
N 0.250 0.550 0.050
N 0.250 0.813 0.313
In 0.441 0.825 0.036
In 0.941 0.464 0.675
In 0.059 0.536 0.325
In 0.559 0.175 0.964

(4)
The following is a PBE calculation of an optimized crystal structure of Cs2BeI6Cl, from Alexandria.

- Formation energy without anion corrections: -0.635 eV per atom

a = 8.645 Å, b = 8.645 Å, c = 8.657 Å
α = 60.05°, β = 60.05°, γ = 90.00°
Each line ends with the local moment (μB).
Fractional coordinates of all 10 atoms:
Cs 0.250 0.750 0.500  0.00
Cs 0.750 0.250 0.500  0.00
I 0.705 0.295 0.000  0.16
I 0.217 0.217 0.566  0.00
I 0.295 0.295 0.000  0.16
I 0.783 0.783 0.434  0.00
I 0.705 0.705 0.000  0.16
I 0.295 0.705 0.000  0.16
Cl 0.000 0.000 0.000  0.01
Be 0.500 0.500 0.000  -0.01

(5)
The following is a PBE calculation of an optimized crystal structure of Dy2Si5Pd3, from Alexandria.

- Formation energy without anion corrections: -0.801 eV per atom

a = 5.924 Å, b = 8.190 Å, c = 8.190 Å
α = 89.82°, β = 68.85°, γ = 68.85°
Fractional coordinates of all 20 atoms:
Pd 0.888 0.750 0.473
Pd 0.250 0.000 0.000
Pd 0.112 0.250 0.527
Pd 0.612 0.527 0.250
Pd 0.750 0.000 0.000
Pd 0.388 0.473 0.750
Dy 0.732 0.139 0.396
Dy 0.268 0.861 0.604
Dy 0.768 0.604 0.861
Dy 0.232 0.396 0.139
Si 0.848 0.267 0.038
Si 0.750 0.500 0.500
Si 0.152 0.733 0.962
Si 0.250 0.500 0.500
Si 0.250 0.225 0.775
Si 0.652 0.962 0.733
Si 0.750 0.225 0.775
Si 0.348 0.038 0.267
Si 0.750 0.775 0.225
Si 0.250 0.775 0.225

(6)
The following is a PBE calculation of an optimized crystal structure of LiTeS2, from Alexandria.

- Formation energy without anion corrections: -0.222 eV per atom

a = 4.122 Å, b = 4.122 Å, c = 7.096 Å
α = 73.12°, β = 73.12°, γ = 60.00°
Fractional coordinates of all 4 atoms:
Li 0.465 0.465 0.606
S 0.276 0.276 0.173
S 0.089 0.089 0.733
Te 0.671 0.671 0.988